1.
Density functional theory data (SCAN) for a PBEsol-optimized structure of Ca3Mn2W2O12. Values from VASP.

Its space group is P1, No. 1. As for the uncorrected formation energy: -2653 meV per atom.

Cell and atoms, written as Quantum ESPRESSO input:
```
&SYSTEM
  ibrav = 0, nat = 19, ntyp = 4
/
ATOMIC_SPECIES
Ca 40.08 Ca.upf
O 16.00 O.upf
W 183.84 W.upf
Mn 54.94 Mn.upf
ATOMIC_POSITIONS angstrom
Ca -1.0530 5.2053 1.7629
Ca -6.9605 2.0978 -3.3043
Ca -3.5052 1.9872 -1.5044
O -2.7956 4.1087 -2.5574
O -1.0955 2.3108 -1.4954
O -5.1909 3.1469 1.0555
O -6.8872 5.0511 -0.0740
O -5.0295 0.5942 -2.6111
O -3.1363 1.3385 0.6924
O -2.9833 6.8501 1.1010
O -5.5159 6.2094 2.2338
O -4.9435 6.0098 -2.3405
O -2.4993 3.8967 0.1539
O -5.4317 3.3717 -1.7325
O -2.6300 1.1879 -3.6165
W -3.7130 6.4244 2.7830
W -6.5947 3.2069 -0.2091
Mn -6.0603 -0.3782 -1.3765
Mn -3.1748 2.9732 1.6564
CELL_PARAMETERS angstrom
-1.6671 1.3812 -4.9406
-5.2824 -1.0857 1.0983
-1.0637 7.0482 2.2938
```

***

2.
Density functional theory data (SCAN) for a PBEsol-optimized structure of CaMn3Os. Values from VASP.

Its space group is Pm-3m, No. 221. For the formation enthalpy at 0 K, the calculation gives 2.08 eV per atom.

Cell and atoms, written as Quantum ESPRESSO input:
```
&SYSTEM
  ibrav = 0, nat = 5, ntyp = 3
/
ATOMIC_SPECIES
Mn 54.94 Mn.upf
Ca 40.08 Ca.upf
Os 190.23 Os.upf
ATOMIC_POSITIONS angstrom
Mn 1.7390 -1.1934 0.4817
Mn -0.9747 -1.7501 -0.8170
Mn 0.8404 0.4397 -1.9445
Ca 0.0000 0.0000 0.0000
Os 1.6047 -2.5038 -2.2798
CELL_PARAMETERS angstrom
-1.9494 -3.5003 -1.6340
1.6807 0.8794 -3.8890
3.4781 -2.3868 0.9634
```

***

3.
Density functional theory data (SCAN) for a PBEsol-optimized structure of CaMnOs2. Values from VASP.

Its space group is P4mm, No. 99. As for the polymorph energy (0 for the lowest one): 0 meV/atom. For the formation enthalpy at 0 K, the calculation gives 0.23 eV per atom.

Cell and atoms, written as Quantum ESPRESSO input:
```
&SYSTEM
  ibrav = 0, nat = 4, ntyp = 3
/
ATOMIC_SPECIES
Os 190.23 Os.upf
Ca 40.08 Ca.upf
Mn 54.94 Mn.upf
ATOMIC_POSITIONS angstrom
Os -1.5998 0.5824 2.0418
Os 0.0055 -0.0196 0.0851
Ca 0.2579 -0.9109 3.9595
Mn -1.2849 -0.5302 6.8781
CELL_PARAMETERS angstrom
-0.6876 2.6602 0.6568
-2.7342 -0.7104 0.0146
0.5337 -1.8853 8.1954
```

***

4.
Density functional theory data (SCAN) for a PBEsol-optimized structure of CaMnOs2. Values from VASP.

Its space group is P4/mmm, No. 123. As for the polymorph energy (0 for the lowest one): 66 meV/atom. For the formation enthalpy at 0 K, the calculation gives 0.30 eV per atom.

Cell and atoms, written as Quantum ESPRESSO input:
```
&SYSTEM
  ibrav = 0, nat = 4, ntyp = 3
/
ATOMIC_SPECIES
Os 190.23 Os.upf
Ca 40.08 Ca.upf
Mn 54.94 Mn.upf
ATOMIC_POSITIONS angstrom
Os 0.0000 0.0000 5.4580
Os 0.0000 0.0000 2.3570
Ca 1.4082 1.4082 0.0000
Mn 1.4082 1.4082 3.9075
CELL_PARAMETERS angstrom
2.8165 0.0000 0.0000
0.0000 2.8165 0.0000
0.0000 0.0000 7.8150
```

***

5.
Density functional theory data (SCAN) for a PBEsol-optimized structure of Ca6MnP5. Values from VASP.

Its space group is P6_3/mcm, No. 193. For the formation enthalpy at 0 K, the calculation gives -1.14 eV per atom.

Cell and atoms, written as Quantum ESPRESSO input:
```
&SYSTEM
  ibrav = 0, nat = 24, ntyp = 3
/
ATOMIC_SPECIES
P 30.97 P.upf
Ca 40.08 Ca.upf
Mn 54.94 Mn.upf
ATOMIC_POSITIONS angstrom
P -1.0723 -1.9627 -3.4068
P -10.6791 -1.2024 1.8253
P -3.8151 4.5025 -1.3931
P -7.9219 -1.5390 -1.4948
P -10.4455 2.5166 1.8381
P -11.5878 0.7342 -1.8592
P -4.0006 0.2551 -1.1165
P -4.3479 -3.9802 -1.4221
P -7.6665 2.5282 -1.4809
P -0.8169 2.1046 -3.3928
Ca -5.7117 -1.9087 0.1912
Ca -2.1207 -2.1308 -0.8111
Ca -12.7690 0.7991 0.8527
Ca -1.8371 2.3849 -0.7957
Ca -12.4235 4.6343 1.2407
Ca -8.8325 4.4122 0.2383
Ca -9.1781 0.5770 -0.1497
Ca -12.9062 -3.0518 1.2144
Ca -5.4280 2.6070 0.2067
Ca -2.8194 0.1902 -3.8284
Ca -6.4103 0.4123 -2.8260
Ca -9.3153 -3.2739 0.2120
Mn -3.4248 0.2118 0.9560
Mn -10.2744 0.6355 2.8679
CELL_PARAMETERS angstrom
-0.5614 6.1718 -3.3789
-1.3278 -6.0299 -3.4207
-13.6992 0.8473 3.8239
```

***

6.
Density functional theory data (SCAN) for a PBEsol-optimized structure of CaMnP2W. Values from VASP.

Its space group is P4/mmm, No. 123. For the formation enthalpy at 0 K, the calculation gives 2.14 eV per atom.

Cell and atoms, written as Quantum ESPRESSO input:
```
&SYSTEM
  ibrav = 0, nat = 5, ntyp = 4
/
ATOMIC_SPECIES
W 183.84 W.upf
P 30.97 P.upf
Ca 40.08 Ca.upf
Mn 54.94 Mn.upf
ATOMIC_POSITIONS angstrom
W 0.0000 0.0000 2.4103
P 2.4329 0.0000 0.0000
P 0.0000 2.4329 0.0000
Ca 0.0000 0.0000 0.0000
Mn 2.4329 2.4329 2.4103
CELL_PARAMETERS angstrom
4.8658 0.0000 0.0000
0.0000 4.8658 0.0000
0.0000 0.0000 4.8207
```

***

7.
Density functional theory data (SCAN) for a PBEsol-optimized structure of Ca2MnZnP. Values from VASP.

Its space group is P4/mmm, No. 123. For the formation enthalpy at 0 K, the calculation gives -0.13 eV per atom.

Cell and atoms, written as Quantum ESPRESSO input:
```
&SYSTEM
  ibrav = 0, nat = 5, ntyp = 4
/
ATOMIC_SPECIES
Ca 40.08 Ca.upf
Mn 54.94 Mn.upf
Zn 65.41 Zn.upf
P 30.97 P.upf
ATOMIC_POSITIONS angstrom
Ca 2.4741 -0.9819 0.4339
Ca 0.6002 2.1690 1.4863
Mn 2.3294 0.1269 3.7680
Zn -0.7448 -1.0602 1.8479
P 0.0000 0.0000 0.0000
CELL_PARAMETERS angstrom
-1.4896 -2.1203 3.6958
4.9482 -1.9638 0.8678
1.2003 4.3379 2.9725
```

***

8.
Density functional theory data (SCAN) for a PBEsol-optimized structure of Ca4MnPb. Values from VASP.

Its space group is F-43m, No. 216. For the formation enthalpy at 0 K, the calculation gives 0.35 eV per atom.

Cell and atoms, written as Quantum ESPRESSO input:
```
&SYSTEM
  ibrav = 0, nat = 6, ntyp = 3
/
ATOMIC_SPECIES
Pb 207.20 Pb.upf
Mn 54.94 Mn.upf
Ca 40.08 Ca.upf
ATOMIC_POSITIONS angstrom
Pb 0.0000 0.0000 0.0000
Mn -9.5005 6.0130 4.0225
Ca -7.1923 4.9795 1.1717
Ca -4.7505 3.0067 2.0114
Ca -5.7543 5.3151 4.0663
Ca -7.6377 2.7334 3.4774
CELL_PARAMETERS angstrom
-4.8844 3.9462 -1.6796
-5.7752 -0.5466 2.9325
-2.0078 4.6177 4.1105
```

***

9.
Density functional theory data (SCAN) for a PBEsol-optimized structure of Ca2MnPb. Values from VASP.

Its space group is Cmmm, No. 65. For the formation enthalpy at 0 K, the calculation gives -0.32 eV per atom.

Cell and atoms, written as Quantum ESPRESSO input:
```
&SYSTEM
  ibrav = 0, nat = 4, ntyp = 3
/
ATOMIC_SPECIES
Mn 54.94 Mn.upf
Ca 40.08 Ca.upf
Pb 207.20 Pb.upf
ATOMIC_POSITIONS angstrom
Mn 1.9556 0.0000 0.0000
Ca 0.0000 2.6035 0.0558
Ca 0.0000 -0.0589 2.6034
Pb 1.9556 2.5446 2.6592
CELL_PARAMETERS angstrom
3.9113 0.0000 0.0000
0.0000 5.2069 0.1115
0.0000 -0.1178 5.2068
```

***

10.
Density functional theory data (SCAN) for a PBEsol-optimized structure of Ca2MnPb. Values from VASP.

Its space group is I-4m2, No. 119. For the formation enthalpy at 0 K, the calculation gives -0.20 eV per atom.

Cell and atoms, written as Quantum ESPRESSO input:
```
&SYSTEM
  ibrav = 0, nat = 4, ntyp = 3
/
ATOMIC_SPECIES
Ca 40.08 Ca.upf
Mn 54.94 Mn.upf
Pb 207.20 Pb.upf
ATOMIC_POSITIONS angstrom
Ca -0.3738 0.6362 3.2408
Ca 0.0000 0.0000 0.0000
Mn 1.4731 -1.9358 2.2301
Pb 2.5396 1.1812 1.7896
CELL_PARAMETERS angstrom
-1.4403 -2.4808 3.6814
4.3864 -1.3907 0.7789
-0.7803 5.6890 0.5702
```

***

11.
Density functional theory data (SCAN) for a PBEsol-optimized structure of CaMnPb3. Values from VASP.

Its space group is Pm-3m, No. 221. For the formation enthalpy at 0 K, the calculation gives 0.75 eV per atom.

Cell and atoms, written as Quantum ESPRESSO input:
```
&SYSTEM
  ibrav = 0, nat = 5, ntyp = 3
/
ATOMIC_SPECIES
Pb 207.20 Pb.upf
Mn 54.94 Mn.upf
Ca 40.08 Ca.upf
ATOMIC_POSITIONS angstrom
Pb 2.2588 -0.7353 1.5617
Pb 1.3951 -0.7370 -2.3648
Pb -1.0166 -2.6453 0.2247
Mn 2.6373 -4.1177 -0.5783
Ca 0.0000 0.0000 0.0000
CELL_PARAMETERS angstrom
-2.0331 -5.2907 0.4495
2.7902 -1.4741 -4.7295
4.5175 -1.4707 3.1235
```

***

12.
Density functional theory data (SCAN) for a PBEsol-optimized structure of Ca2MnSbPb. Values from VASP.

Its space group is P4/mmm, No. 123. As for the uncorrected formation energy: 344 meV per atom.

Cell and atoms, written as Quantum ESPRESSO input:
```
&SYSTEM
  ibrav = 0, nat = 5, ntyp = 4
/
ATOMIC_SPECIES
Sb 121.76 Sb.upf
Ca 40.08 Ca.upf
Mn 54.94 Mn.upf
Pb 207.20 Pb.upf
ATOMIC_POSITIONS angstrom
Sb 2.8389 0.0000 0.0000
Ca 0.0000 0.0000 2.9154
Ca 0.0000 2.9154 0.0000
Mn 2.8389 2.9154 2.9154
Pb 0.0000 0.0000 0.0000
CELL_PARAMETERS angstrom
5.6778 0.0000 0.0000
0.0000 5.8309 0.0000
0.0000 0.0000 5.8309
```

***

13.
Density functional theory data (SCAN) for a PBEsol-optimized structure of CaMn2Pd. Values from VASP.

Its space group is Fm-3m, No. 225. For the formation enthalpy at 0 K, the calculation gives -0.11 eV per atom.

Cell and atoms, written as Quantum ESPRESSO input:
```
&SYSTEM
  ibrav = 0, nat = 4, ntyp = 3
/
ATOMIC_SPECIES
Ca 40.08 Ca.upf
Pd 106.42 Pd.upf
Mn 54.94 Mn.upf
ATOMIC_POSITIONS angstrom
Ca 0.0000 0.0000 0.0000
Pd -1.5119 3.1313 4.4180
Mn -0.7559 1.5657 2.2090
Mn -2.2678 4.6970 6.6271
CELL_PARAMETERS angstrom
-1.0952 4.2345 1.3938
-3.1737 0.5933 3.2632
1.2452 1.4348 4.1790
```

***

no.,size of the total moment (μB/f.u.),Fermi-level density of states (states/eV per atom),total DFT energy (no corrections) (eV per atom)
1,8.0,0.023,-17.37
2,10.7,0.539,-25.18
3,3.9,0.536,-42.69
4,2.5,0.844,-42.62
5,2.0,0.147,-11.83
6,1.9,0.694,-21.54
7,4.9,0.638,-12.43
8,3.1,0.776,-21.77
9,4.8,0.523,-28.66
10,4.4,0.487,-28.54
11,5.0,0.901,-50.30
12,5.0,0.542,-29.78
13,8.5,0.540,-19.85